[1]
KYMn2: relaxed, GGA-PBEsol.

## Properties
**Final energy**: -5.76 eV/atom
**Space group**: I-4m2, No. 119
**Calculated formation energy**: 1.11 eV/atom

Lattice parameters (Å, degrees): 4.5154 4.5154 5.5444 114.03 114.03 90.00
Last column: nearest neighbours and their distance in Å.
Positions (direct):
Mn: 0.7500 0.2500 0.5000  4 K 3.19, 4 Mn 3.20, 4 Y 3.20
Mn: 0.0000 0.0000 0.0000  4 Y 3.19, 4 Mn 3.20, 4 K 3.20
Y: 0.5000 0.5000 0.0000  8 Mn 3.19-3.20, 4 K 3.20
K: 0.2500 0.7500 0.5000  8 Mn 3.19-3.20, 4 Y 3.20

---

[2]
Ni2HgCl: relaxed, GGA-PBEsol.

## Properties
**Final energy**: -3.52 eV/atom
**Formation energy (no corrections)**: 0.20 eV per atom
**Space group**: R-3m, No. 166

Lattice parameters (Å, degrees): 3.0599 3.0599 7.4275 78.11 78.11 60.00
Last column: nearest neighbours and their distance in Å.
Positions (direct):
Hg: 0.0000 0.0000 0.0000  6 Ni 2.64
Ni: 0.7572 0.7572 0.7283  3 Cl 2.42, 3 Hg 2.64
Ni: 0.2428 0.2428 0.2717  3 Cl 2.42, 3 Hg 2.64
Cl: 0.5000 0.5000 0.5000  6 Ni 2.42

---

[3]
SrH3Pt: relaxed, GGA-PBEsol.

## Properties
**Final energy**: -4.34 eV/atom
**Space group**: Pm-3m, No. 221

Lattice parameters (Å, degrees): 3.7919 3.7919 3.7919 90.00 90.00 90.00
Last column: nearest neighbours and their distance in Å.
Positions (direct):
H: 0.0000 0.5000 0.0000  2 Pt 1.90
H: 0.0000 0.0000 0.5000  2 Pt 1.90
H: 0.5000 0.0000 0.0000  2 Pt 1.90
Sr: 0.5000 0.5000 0.5000  12 H 2.68
Pt: 0.0000 0.0000 0.0000  6 H 1.90

---

[4]
HgTe2: relaxed, GGA-PBEsol.

## Properties
**Final energy**: -2.34 eV/atom
**Formation energy (no corrections)**: 0.20 eV per atom
**Space group**: P-62m, No. 189

Lattice parameters (Å, degrees): 3.7759 8.9729 8.9729 120.00 90.00 90.00
Last column: nearest neighbours and their distance in Å.
Positions (direct):
Te: 0.0000 0.2529 0.0000  2 Hg 2.95, 2 Te 2.99
Te: 0.0000 0.0000 0.2529  2 Hg 2.95, 2 Te 2.99
Te: 0.5000 0.5119 0.0000  2 Te 2.99, 4 Hg 3.21
Te: 0.5000 0.4881 0.4881  2 Te 2.99, 4 Hg 3.21
Te: 0.0000 0.7471 0.7471  2 Hg 2.95, 2 Te 2.99
Te: 0.5000 0.0000 0.5119  2 Te 2.99, 4 Hg 3.21
Hg: 0.0000 0.6667 0.3333  9 Te 3.21-3.41
Hg: 0.0000 0.3333 0.6667  9 Te 3.21-3.41
Hg: 0.5000 0.0000 0.0000  6 Te 2.95

---

Q: final energy of number 4 (HgTe2)?
A: -2.34 eV/atom